Material: Pm4TePI2
Method: DFT, GGA-PBE
State: relaxed

Cell lengths 7.7295, 4.2728, 7.9295 Å; angles 90.00, 107.95, 90.00 degrees
Space group P2/m (No. 10)
Inequivalent atoms, fractional coordinates:
Pm  0.2029  0.0000  0.1941 (multiplicity 2)
Pm  0.2266  0.5000  0.7962 (multiplicity 2)
Te  0.5000  0.0000  0.0000 (multiplicity 1)
P  0.0000  0.5000  0.0000 (multiplicity 1)
I  0.0000  0.0000  0.5000 (multiplicity 1)
I  0.5000  0.5000  0.5000 (multiplicity 1)

Computed properties:
- M_tot: 0.000 μB/f.u.
- Raw formation energy: -1231 meV per atom



Material: V2IrRu2
Method: DFT, GGA-PBE
State: relaxed

Cell lengths 4.4543, 7.3386, 4.7981 Å; angles 90.00, 90.00, 90.00 degrees
Space group Cmmm (No. 65)
Inequivalent atoms, fractional coordinates:
V  0.0000  0.0000  0.2445 (multiplicity 4)
Ir  0.0000  0.5000  0.5000 (multiplicity 2)
Ru  0.0000  0.3287  0.0000 (multiplicity 4)

Computed properties:
- M_tot: 0.001 μB/f.u.
- Distance to the lowest polymorph of the same formula: 371 meV/atom



Material: KS2I
Method: DFT, GGA-PBE
State: relaxed

Cell lengths 7.4619, 7.4619, 7.4619 Å; angles 90.00, 90.00, 90.00 degrees
Space group Fm-3m (No. 225)
Inequivalent atoms, fractional coordinates:
K  0.0000  0.0000  0.0000 (multiplicity 4)
S  0.2500  0.2500  0.2500 (multiplicity 8)
I  0.0000  0.0000  0.5000 (multiplicity 4)

Computed properties:
- M_tot: 0.061 μB/f.u.
- Distance to the lowest polymorph of the same formula: 350 meV/atom
- Raw formation energy: 320 meV per atom



Material: CaHo2SnN4
Method: DFT, GGA-PBE
State: relaxed

Cell lengths 3.4301, 11.8876, 12.1760 Å; angles 90.00, 90.00, 90.00 degrees
Space group Cmcm (No. 63)
Inequivalent atoms, fractional coordinates:
Ca  0.0000  0.1181  0.2500 (multiplicity 4)
Ho  0.0000  0.3703  0.0281 (multiplicity 8)
Sn  0.0000  0.1464  0.7500 (multiplicity 4)
N  0.0000  0.0000  0.0000 (multiplicity 4)
N  0.0000  0.2550  0.6180 (multiplicity 8)
N  0.0000  0.4574  0.2500 (multiplicity 4)

Computed properties:
- M_tot: 0.000 μB/f.u.
- Raw formation energy: -914 meV per atom



Which value of M_tot does entry 4 give? 0.000 μB/f.u.



Which formula does entry 1 have? Pm4TePI2